[1]
A plane-wave DFT calculation with PBE-GGA was carried out for a geometry-optimized NdSm2Y5Er structure.

Cell lengths 8.630, 8.630, 9.973 Å; angles 115.64, 115.64, 90.00 degrees
Positions (direct):
Nd (0.250, 0.750, 0.500)
Nd (0.750, 0.250, 0.500)
Sm (0.118, 0.382, 0.000)
Sm (0.618, 0.118, 0.000)
Sm (0.382, 0.882, 0.000)
Sm (0.882, 0.618, 0.000)
Y (0.931, 0.431, 0.276)
Y (0.655, 0.155, 0.724)
Y (0.069, 0.569, 0.724)
Y (0.155, 0.069, 0.724)
Y (0.569, 0.655, 0.724)
Y (0.845, 0.931, 0.276)
Y (0.431, 0.345, 0.276)
Y (0.345, 0.845, 0.276)
Y (0.500, 0.500, 0.000)
Y (0.000, 0.000, 0.000)
Er (0.250, 0.250, 0.500)
Er (0.750, 0.750, 0.500)

DOS at the Fermi energy = 10.51 states/eV/f.u.
space group = I4/mcm
theoretical density = 5974 kg/m3
ΔH_f (0 K) = 220 kJ/mol of formula units

***

[2]
A plane-wave DFT calculation with PBE-GGA was carried out for a geometry-optimized Nd3SmY2Er6 structure.

Cell lengths 6.194, 6.194, 11.782 Å; angles 95.01, 95.01, 119.97 degrees
Positions (direct):
Nd (0.167, 0.833, 0.500)
Nd (0.833, 0.167, 0.500)
Nd (0.500, 0.500, 0.500)
Sm (0.000, 0.000, 0.000)
Y (0.333, 0.667, 0.000)
Y (0.667, 0.333, 0.000)
Er (0.917, 0.585, 0.752)
Er (0.750, 0.750, 0.248)
Er (0.083, 0.415, 0.248)
Er (0.585, 0.917, 0.752)
Er (0.250, 0.250, 0.752)
Er (0.415, 0.083, 0.248)

DOS at the Fermi energy = 15.53 states/eV/f.u.
space group = C2/m
theoretical density = 7599 kg/m3
ΔH_f (0 K) = 23 kJ/mol of formula units

***

[3]
A plane-wave DFT calculation with PBE-GGA was carried out for a geometry-optimized NdSm3YEr structure.

Cell lengths 5.613, 11.394, 6.745 Å; angles 98.14, 90.00, 104.26 degrees
Positions (direct):
Nd (0.069, 0.139, 0.192)
Nd (0.931, 0.861, 0.808)
Sm (0.836, 0.672, 0.232)
Sm (0.775, 0.551, 0.689)
Sm (0.476, 0.951, 0.237)
Sm (0.225, 0.449, 0.311)
Sm (0.524, 0.049, 0.763)
Sm (0.164, 0.328, 0.768)
Y (0.333, 0.666, 0.975)
Y (0.667, 0.334, 0.025)
Er (0.633, 0.266, 0.470)
Er (0.367, 0.734, 0.530)

DOS at the Fermi energy = 8.36 states/eV/f.u.
space group = C2/m
theoretical density = 6837 kg/m3
ΔH_f (0 K) = 97 kJ/mol of formula units

***

[4]
A plane-wave DFT calculation with PBE-GGA was carried out for a geometry-optimized NdSm5Y2Er structure.

Cell lengths 5.663, 10.517, 10.725 Å; angles 90.00, 90.00, 105.62 degrees
Positions (direct):
Nd (0.797, 0.593, 0.508)
Nd (0.203, 0.407, 0.008)
Sm (0.395, 0.790, 0.025)
Sm (0.717, 0.435, 0.806)
Sm (0.479, 0.958, 0.742)
Sm (0.298, 0.596, 0.704)
Sm (0.982, 0.964, 0.524)
Sm (0.605, 0.210, 0.525)
Sm (0.283, 0.565, 0.306)
Sm (0.521, 0.042, 0.242)
Sm (0.702, 0.404, 0.204)
Sm (0.018, 0.036, 0.024)
Y (0.884, 0.767, 0.820)
Y (0.109, 0.219, 0.737)
Y (0.116, 0.233, 0.320)
Y (0.891, 0.781, 0.237)
Er (0.589, 0.177, 0.958)
Er (0.411, 0.823, 0.458)

DOS at the Fermi energy = 14.42 states/eV/f.u.
space group = Cmc2_1
theoretical density = 6701 kg/m3
ΔH_f (0 K) = 125 kJ/mol of formula units

***

[5]
A plane-wave DFT calculation with PBE-GGA was carried out for a geometry-optimized NdSm2Y2Er structure.

Cell lengths 3.401, 6.680, 17.903 Å; angles 90.00, 90.00, 90.00 degrees
Positions (direct):
Nd (0.500, 0.500, 0.000)
Nd (0.000, 0.000, 0.500)
Sm (0.500, 0.265, 0.319)
Sm (0.000, 0.765, 0.181)
Sm (0.500, 0.735, 0.681)
Sm (0.000, 0.235, 0.819)
Y (0.500, 0.767, 0.351)
Y (0.500, 0.233, 0.649)
Y (0.000, 0.733, 0.851)
Y (0.000, 0.267, 0.149)
Er (0.000, 0.000, 0.000)
Er (0.500, 0.500, 0.500)

DOS at the Fermi energy = 10.52 states/eV/f.u.
space group = Pnnm
theoretical density = 6450 kg/m3
ΔH_f (0 K) = 163 kJ/mol of formula units

***

[6]
A plane-wave DFT calculation with PBE-GGA was carried out for a geometry-optimized Nd5SmY2Er structure.

Cell lengths 5.687, 10.631, 10.748 Å; angles 90.00, 90.00, 105.51 degrees
Positions (direct):
Nd (0.391, 0.782, 0.024)
Nd (0.718, 0.436, 0.809)
Nd (0.481, 0.961, 0.744)
Nd (0.296, 0.592, 0.703)
Nd (0.983, 0.965, 0.521)
Nd (0.609, 0.218, 0.524)
Nd (0.282, 0.564, 0.309)
Nd (0.519, 0.039, 0.244)
Nd (0.704, 0.408, 0.203)
Nd (0.017, 0.035, 0.021)
Sm (0.798, 0.597, 0.509)
Sm (0.202, 0.403, 0.009)
Y (0.884, 0.767, 0.816)
Y (0.111, 0.221, 0.737)
Y (0.116, 0.233, 0.316)
Y (0.889, 0.779, 0.237)
Er (0.591, 0.182, 0.961)
Er (0.409, 0.818, 0.461)

DOS at the Fermi energy = 14.53 states/eV/f.u.
space group = Cmc2_1
theoretical density = 6453 kg/m3
ΔH_f (0 K) = 121 kJ/mol of formula units

***

[7]
A plane-wave DFT calculation with PBE-GGA was carried out for a geometry-optimized Nd2SmY6Er3 structure.

Cell lengths 6.201, 6.201, 11.837 Å; angles 95.00, 95.00, 119.96 degrees
Positions (direct):
Nd (0.333, 0.667, 0.000)
Nd (0.667, 0.333, 0.000)
Sm (0.000, 0.000, 0.000)
Y (0.915, 0.582, 0.746)
Y (0.752, 0.752, 0.254)
Y (0.085, 0.418, 0.254)
Y (0.582, 0.915, 0.746)
Y (0.248, 0.248, 0.746)
Y (0.418, 0.085, 0.254)
Er (0.167, 0.833, 0.500)
Er (0.833, 0.167, 0.500)
Er (0.500, 0.500, 0.500)

DOS at the Fermi energy = 17.34 states/eV/f.u.
space group = C2/m
theoretical density = 6303 kg/m3
ΔH_f (0 K) = 24 kJ/mol of formula units

***

[8]
A plane-wave DFT calculation with PBE-GGA was carried out for a geometry-optimized Nd2Sm6YEr structure.

Cell lengths 9.782, 8.936, 8.936 Å; angles 118.43, 94.24, 94.24 degrees
Positions (direct):
Nd (0.458, 0.805, 0.699)
Nd (0.042, 0.301, 0.195)
Nd (0.542, 0.195, 0.301)
Nd (0.958, 0.699, 0.805)
Sm (0.056, 0.126, 0.751)
Sm (0.444, 0.249, 0.874)
Sm (0.944, 0.874, 0.249)
Sm (0.556, 0.751, 0.126)
Sm (0.311, 0.982, 0.426)
Sm (0.189, 0.574, 0.018)
Sm (0.689, 0.018, 0.574)
Sm (0.811, 0.426, 0.982)
Sm (0.119, 0.710, 0.501)
Sm (0.381, 0.499, 0.290)
Sm (0.881, 0.290, 0.499)
Sm (0.619, 0.501, 0.710)
Y (0.250, 0.981, 0.019)
Y (0.750, 0.019, 0.981)
Er (0.250, 0.408, 0.592)
Er (0.750, 0.592, 0.408)

DOS at the Fermi energy = 14.03 states/eV/f.u.
space group = C2/c
theoretical density = 7069 kg/m3
ΔH_f (0 K) = 109 kJ/mol of formula units

***

[9]
A plane-wave DFT calculation with PBE-GGA was carried out for a geometry-optimized NdSm5YEr2 structure.

Cell lengths 5.647, 10.538, 10.676 Å; angles 90.00, 90.00, 105.54 degrees
Positions (direct):
Nd (0.799, 0.597, 0.511)
Nd (0.201, 0.403, 0.011)
Sm (0.392, 0.784, 0.026)
Sm (0.720, 0.439, 0.808)
Sm (0.479, 0.957, 0.741)
Sm (0.298, 0.597, 0.706)
Sm (0.984, 0.968, 0.523)
Sm (0.608, 0.216, 0.526)
Sm (0.280, 0.561, 0.308)
Sm (0.521, 0.043, 0.241)
Sm (0.702, 0.403, 0.206)
Sm (0.016, 0.032, 0.023)
Y (0.589, 0.178, 0.955)
Y (0.411, 0.822, 0.455)
Er (0.885, 0.769, 0.818)
Er (0.110, 0.221, 0.737)
Er (0.115, 0.231, 0.318)
Er (0.890, 0.779, 0.237)

DOS at the Fermi energy = 14.47 states/eV/f.u.
space group = Cmc2_1
theoretical density = 7159 kg/m3
ΔH_f (0 K) = 134 kJ/mol of formula units

***

[10]
A plane-wave DFT calculation with PBE-GGA was carried out for a geometry-optimized Nd6Sm2YEr structure.

Cell lengths 9.747, 9.017, 9.017 Å; angles 118.33, 93.94, 93.93 degrees
Positions (direct):
Nd (0.054, 0.123, 0.759)
Nd (0.446, 0.241, 0.877)
Nd (0.946, 0.877, 0.241)
Nd (0.554, 0.759, 0.123)
Nd (0.310, 0.986, 0.431)
Nd (0.190, 0.569, 0.013)
Nd (0.690, 0.014, 0.569)
Nd (0.810, 0.431, 0.987)
Nd (0.118, 0.710, 0.497)
Nd (0.382, 0.503, 0.290)
Nd (0.882, 0.290, 0.503)
Nd (0.618, 0.497, 0.710)
Sm (0.456, 0.801, 0.698)
Sm (0.044, 0.301, 0.198)
Sm (0.544, 0.199, 0.302)
Sm (0.956, 0.699, 0.802)
Y (0.250, 0.976, 0.023)
Y (0.750, 0.024, 0.977)
Er (0.250, 0.410, 0.589)
Er (0.750, 0.590, 0.411)

DOS at the Fermi energy = 14.04 states/eV/f.u.
space group = C2/c
theoretical density = 6834 kg/m3
ΔH_f (0 K) = 108 kJ/mol of formula units

***

[11]
A plane-wave DFT calculation with PBE-GGA was carried out for a geometry-optimized Nd2Sm2YEr2 structure.

Cell lengths 5.095, 6.243, 8.052 Å; angles 97.54, 90.00, 114.08 degrees
Positions (direct):
Nd (0.143, 0.287, 0.429)
Nd (0.857, 0.713, 0.571)
Sm (0.571, 0.143, 0.718)
Sm (0.429, 0.857, 0.282)
Y (0.000, 0.000, 0.000)
Er (0.715, 0.430, 0.140)
Er (0.285, 0.570, 0.860)

DOS at the Fermi energy = 10.04 states/eV/f.u.
space group = C2/m
theoretical density = 7268 kg/m3
ΔH_f (0 K) = 13 kJ/mol of formula units

***

[12]
A plane-wave DFT calculation with PBE-GGA was carried out for a geometry-optimized Nd2SmY3Er6 structure.

Cell lengths 6.175, 6.175, 11.773 Å; angles 95.01, 95.01, 119.95 degrees
Positions (direct):
Nd (0.333, 0.667, 0.000)
Nd (0.667, 0.333, 0.000)
Sm (0.000, 0.000, 0.000)
Y (0.167, 0.833, 0.500)
Y (0.833, 0.167, 0.500)
Y (0.500, 0.500, 0.500)
Er (0.915, 0.582, 0.748)
Er (0.752, 0.752, 0.252)
Er (0.085, 0.418, 0.252)
Er (0.582, 0.915, 0.748)
Er (0.248, 0.248, 0.748)
Er (0.418, 0.085, 0.252)

DOS at the Fermi energy = 16.75 states/eV/f.u.
space group = C2/m
theoretical density = 7410 kg/m3
ΔH_f (0 K) = 25 kJ/mol of formula units

***

[13]
A plane-wave DFT calculation with PBE-GGA was carried out for a geometry-optimized NdSmY2Er structure.

Cell lengths 7.211, 8.468, 7.153 Å; angles 126.29, 90.00, 90.00 degrees
Positions (direct):
Nd (0.250, 0.729, 0.458)
Nd (0.750, 0.271, 0.542)
Sm (0.250, 0.996, 0.992)
Sm (0.750, 0.004, 0.008)
Y (0.500, 0.312, 0.000)
Y (0.000, 0.688, 0.000)
Y (0.500, 0.688, 0.000)
Y (0.000, 0.312, 0.000)
Er (0.750, 0.724, 0.449)
Er (0.250, 0.276, 0.551)

DOS at the Fermi energy = 8.34 states/eV/f.u.
space group = Cmcm
theoretical density = 6034 kg/m3
ΔH_f (0 K) = 189 kJ/mol of formula units

***

[14]
A plane-wave DFT calculation with PBE-GGA was carried out for a geometry-optimized Nd3SmY6Er2 structure.

Cell lengths 6.227, 6.227, 11.871 Å; angles 95.00, 95.00, 119.97 degrees
Positions (direct):
Nd (0.167, 0.833, 0.500)
Nd (0.833, 0.167, 0.500)
Nd (0.500, 0.500, 0.500)
Sm (0.000, 0.000, 0.000)
Y (0.918, 0.584, 0.753)
Y (0.749, 0.749, 0.247)
Y (0.082, 0.416, 0.247)
Y (0.584, 0.918, 0.753)
Y (0.251, 0.251, 0.753)
Y (0.416, 0.082, 0.247)
Er (0.333, 0.667, 0.000)
Er (0.667, 0.333, 0.000)

DOS at the Fermi energy = 16.59 states/eV/f.u.
space group = C2/m
theoretical density = 6136 kg/m3
ΔH_f (0 K) = 20 kJ/mol of formula units

***

[15]
A plane-wave DFT calculation with PBE-GGA was carried out for a geometry-optimized NdSm6YEr2 structure.

Cell lengths 9.692, 8.897, 8.897 Å; angles 117.85, 94.00, 94.00 degrees
Positions (direct):
Nd (0.250, 0.407, 0.593)
Nd (0.750, 0.593, 0.407)
Sm (0.054, 0.117, 0.756)
Sm (0.446, 0.244, 0.883)
Sm (0.946, 0.883, 0.244)
Sm (0.554, 0.756, 0.117)
Sm (0.317, 0.980, 0.432)
Sm (0.183, 0.568, 0.020)
Sm (0.683, 0.020, 0.568)
Sm (0.817, 0.432, 0.980)
Sm (0.121, 0.707, 0.495)
Sm (0.379, 0.505, 0.293)
Sm (0.879, 0.293, 0.505)
Sm (0.621, 0.495, 0.707)
Y (0.250, 0.974, 0.026)
Y (0.750, 0.026, 0.974)
Er (0.455, 0.805, 0.703)
Er (0.045, 0.297, 0.195)
Er (0.545, 0.195, 0.297)
Er (0.955, 0.703, 0.805)

DOS at the Fermi energy = 14.95 states/eV/f.u.
space group = C2/c
theoretical density = 7264 kg/m3
ΔH_f (0 K) = 113 kJ/mol of formula units

***

[16]
A plane-wave DFT calculation with PBE-GGA was carried out for a geometry-optimized NdSmY2Er2 structure.

Cell lengths 3.416, 6.556, 17.888 Å; angles 90.00, 90.00, 90.00 degrees
Positions (direct):
Nd (0.000, 0.000, 0.000)
Nd (0.500, 0.500, 0.500)
Sm (0.500, 0.500, 0.000)
Sm (0.000, 0.000, 0.500)
Y (0.500, 0.278, 0.313)
Y (0.000, 0.778, 0.187)
Y (0.500, 0.722, 0.687)
Y (0.000, 0.222, 0.813)
Er (0.500, 0.779, 0.352)
Er (0.500, 0.221, 0.648)
Er (0.000, 0.721, 0.852)
Er (0.000, 0.279, 0.148)

DOS at the Fermi energy = 9.77 states/eV/f.u.
space group = Pnnm
theoretical density = 6690 kg/m3
ΔH_f (0 K) = 156 kJ/mol of formula units

***

[17]
A plane-wave DFT calculation with PBE-GGA was carried out for a geometry-optimized NdSm2YEr5 structure.

Cell lengths 8.750, 8.750, 9.807 Å; angles 116.50, 116.50, 90.00 degrees
Positions (direct):
Nd (0.250, 0.250, 0.500)
Nd (0.750, 0.750, 0.500)
Sm (0.115, 0.385, 0.000)
Sm (0.615, 0.115, 0.000)
Sm (0.385, 0.885, 0.000)
Sm (0.885, 0.615, 0.000)
Y (0.250, 0.750, 0.500)
Y (0.750, 0.250, 0.500)
Er (0.927, 0.427, 0.272)
Er (0.655, 0.155, 0.728)
Er (0.073, 0.573, 0.728)
Er (0.155, 0.073, 0.728)
Er (0.573, 0.655, 0.728)
Er (0.845, 0.927, 0.272)
Er (0.427, 0.345, 0.272)
Er (0.345, 0.845, 0.272)
Er (0.500, 0.500, 0.000)
Er (0.000, 0.000, 0.000)

DOS at the Fermi energy = 10.49 states/eV/f.u.
space group = I4/mcm
theoretical density = 7811 kg/m3
ΔH_f (0 K) = 233 kJ/mol of formula units

***

[18]
A plane-wave DFT calculation with PBE-GGA was carried out for a geometry-optimized Nd6SmY3Er2 structure.

Cell lengths 6.288, 6.288, 11.895 Å; angles 95.04, 95.04, 119.99 degrees
Positions (direct):
Nd (0.916, 0.582, 0.751)
Nd (0.750, 0.750, 0.249)
Nd (0.084, 0.418, 0.249)
Nd (0.582, 0.916, 0.751)
Nd (0.250, 0.250, 0.751)
Nd (0.418, 0.084, 0.249)
Sm (0.000, 0.000, 0.000)
Y (0.167, 0.833, 0.500)
Y (0.833, 0.167, 0.500)
Y (0.500, 0.500, 0.500)
Er (0.333, 0.667, 0.000)
Er (0.667, 0.333, 0.000)

DOS at the Fermi energy = 14.12 states/eV/f.u.
space group = C2/m
theoretical density = 6696 kg/m3
ΔH_f (0 K) = 12 kJ/mol of formula units